Record 1
Below is crystalline BaSb2Au4 at its relaxed geometry, with properties calculated at the PBE level.

Results
Space group: P2_1/c (14)
Crystal system: monoclinic
E_tot, eV/cell: -103.61

Lattice parameters (Å, degrees): 5.050 18.490 8.931 90.00 122.07 90.00
Fractional positions:
Ba 0.193 0.126 0.012
Ba 0.193 0.374 0.512
Ba 0.807 0.626 0.488
Ba 0.807 0.874 0.988
Sb 0.097 0.532 0.258
Sb 0.097 0.968 0.758
Sb 0.325 0.732 0.983
Sb 0.325 0.768 0.483
Sb 0.675 0.232 0.517
Sb 0.675 0.268 0.017
Sb 0.903 0.032 0.242
Sb 0.903 0.468 0.742
Au 0.013 0.185 0.326
Au 0.013 0.315 0.826
Au 0.120 0.592 0.957
Au 0.120 0.908 0.457
Au 0.424 0.184 0.717
Au 0.424 0.316 0.217
Au 0.473 0.530 0.818
Au 0.473 0.970 0.318
Au 0.527 0.030 0.682
Au 0.527 0.470 0.182
Au 0.576 0.684 0.783
Au 0.576 0.816 0.283
Au 0.880 0.092 0.543
Au 0.880 0.408 0.043
Au 0.987 0.685 0.174
Au 0.987 0.815 0.674


Record 2
Below is crystalline Ba2SbAu7 at its relaxed geometry, with properties calculated at the PBE level.

Results
Space group: P-4m2 (115)
Crystal system: tetragonal
E_tot, eV/cell: -35.69

Lattice parameters (Å, degrees): 4.569 4.569 12.249 90.00 90.00 90.00
Fractional positions:
Ba 0.000 0.500 0.241
Ba 0.500 0.000 0.759
Sb 0.000 0.000 0.500
Au 0.000 0.000 0.000
Au 0.000 0.500 0.641
Au 0.000 0.500 0.862
Au 0.500 0.000 0.138
Au 0.500 0.000 0.359
Au 0.500 0.500 0.000
Au 0.500 0.500 0.500


Record 3
Below is crystalline Ba2Sb3Au5 at its relaxed geometry, with properties calculated at the PBE level.

Results
Space group: Ibam (72)
Crystal system: orthorhombic
Energy above the most stable polymorph in this dataset, eV per atom: 0.0000

Lattice parameters (Å, degrees): 9.500 9.500 9.500 108.05 87.88 136.65
Fractional positions:
Ba 0.128 0.239 0.368
Ba 0.372 0.739 0.111
Ba 0.628 0.261 0.889
Ba 0.872 0.761 0.632
Sb 0.131 0.879 0.010
Sb 0.250 0.750 0.500
Sb 0.369 0.379 0.748
Sb 0.631 0.621 0.252
Sb 0.750 0.250 0.500
Sb 0.869 0.121 0.990
Au 0.010 0.750 0.260
Au 0.117 0.637 0.754
Au 0.250 0.250 0.000
Au 0.383 0.137 0.521
Au 0.490 0.750 0.740
Au 0.510 0.250 0.260
Au 0.617 0.863 0.479
Au 0.750 0.750 0.000
Au 0.883 0.363 0.246
Au 0.990 0.250 0.740


Record 4
Below is crystalline Ba2Sb3Au5 at its relaxed geometry, with properties calculated at the PBE level.

Results
Space group: P-4m2 (115)
Crystal system: tetragonal
Energy above the most stable polymorph in this dataset, eV per atom: 0.1242

Lattice parameters (Å, degrees): 5.256 5.256 10.226 90.00 90.00 90.00
Fractional positions:
Ba 0.000 0.500 0.230
Ba 0.500 0.000 0.770
Sb 0.000 0.500 0.627
Sb 0.500 0.000 0.373
Sb 0.500 0.500 0.500
Au 0.000 0.000 0.000
Au 0.000 0.000 0.500
Au 0.000 0.500 0.893
Au 0.500 0.000 0.107
Au 0.500 0.500 0.000


Record 5
Below is crystalline Ba3Sb2Au4 at its relaxed geometry, with properties calculated at the PBE level.

Results
Space group: C2/m (12)
Crystal system: monoclinic
E_tot, eV/cell: -34.55

Lattice parameters (Å, degrees): 6.681 6.681 9.649 103.58 103.58 42.40
Fractional positions:
Ba 0.000 0.000 0.000
Ba 0.335 0.335 0.331
Ba 0.665 0.665 0.669
Sb 0.390 0.390 0.719
Sb 0.610 0.610 0.281
Au 0.056 0.056 0.389
Au 0.278 0.278 0.944
Au 0.722 0.722 0.056
Au 0.944 0.944 0.611


Record 6
Below is crystalline Ba2SbAu2 at its relaxed geometry, with properties calculated at the PBE level.

Results
Space group: C2/m (12)
Crystal system: monoclinic
Energy above the most stable polymorph in this dataset, eV per atom: 0.0000

Lattice parameters (Å, degrees): 6.622 6.622 13.027 115.48 115.48 42.21
Fractional positions:
Ba 0.091 0.091 0.395
Ba 0.310 0.310 0.869
Ba 0.690 0.690 0.131
Ba 0.909 0.909 0.605
Sb 0.425 0.425 0.182
Sb 0.575 0.575 0.818
Au 0.038 0.038 0.913
Au 0.373 0.373 0.395
Au 0.627 0.627 0.605
Au 0.962 0.962 0.087


Record 7
Below is crystalline BaSb2Au9 at its relaxed geometry, with properties calculated at the PBE level.

Results
Space group: R-3m (166)
Crystal system: trigonal
E_tot, eV/cell: -41.96

Lattice parameters (Å, degrees): 9.871 9.871 9.871 33.96 33.96 33.96
Fractional positions:
Ba 0.000 0.000 0.000
Sb 0.156 0.156 0.156
Sb 0.844 0.844 0.844
Au 0.081 0.586 0.586
Au 0.334 0.334 0.334
Au 0.414 0.414 0.919
Au 0.414 0.919 0.414
Au 0.500 0.500 0.500
Au 0.586 0.081 0.586
Au 0.586 0.586 0.081
Au 0.666 0.666 0.666
Au 0.919 0.414 0.414


Record 8
Below is crystalline Ba8Sb5Au at its relaxed geometry, with properties calculated at the PBE level.

Results
Space group: I-4 (82)
Crystal system: tetragonal
E_tot, eV/cell: -53.56

Lattice parameters (Å, degrees): 9.134 9.134 9.134 109.41 109.41 109.59
Fractional positions:
Ba 0.121 0.365 0.612
Ba 0.124 0.370 0.099
Ba 0.271 0.025 0.901
Ba 0.492 0.879 0.244
Ba 0.630 0.729 0.753
Ba 0.635 0.248 0.756
Ba 0.752 0.508 0.388
Ba 0.975 0.876 0.247
Sb 0.008 0.631 0.881
Sb 0.369 0.250 0.377
Sb 0.500 0.500 0.000
Sb 0.750 0.127 0.119
Sb 0.873 0.992 0.623
Au 0.250 0.750 0.500


Record 9
Below is crystalline Ba2Sb2Au at its relaxed geometry, with properties calculated at the PBE level.

Results
Space group: I4/mmm (139)
Crystal system: tetragonal
Energy above the most stable polymorph in this dataset, eV per atom: 0.3064

Lattice parameters (Å, degrees): 9.974 9.974 9.974 154.34 154.34 36.60
Fractional positions:
Ba 0.104 0.104 0.000
Ba 0.896 0.896 0.000
Sb 0.250 0.750 0.500
Sb 0.750 0.250 0.500
Au 0.500 0.500 0.000


Record 10
Below is crystalline Ba2Sb2Au at its relaxed geometry, with properties calculated at the PBE level.

Results
Space group: I4/mmm (139)
Crystal system: tetragonal
Energy above the most stable polymorph in this dataset, eV per atom: 0.3131

Lattice parameters (Å, degrees): 6.514 6.514 6.514 116.63 116.63 95.94
Fractional positions:
Ba 0.250 0.750 0.500
Ba 0.750 0.250 0.500
Sb 0.183 0.183 0.000
Sb 0.817 0.817 0.000
Au 0.500 0.500 0.000


Record 11
Below is crystalline BaSb3Au at its relaxed geometry, with properties calculated at the PBE level.

Results
Space group: Pm-3m (221)
Crystal system: cubic
Energy above the most stable polymorph in this dataset, eV per atom: 0.3190

Lattice parameters (Å, degrees): 5.531 5.531 5.531 90.00 90.00 90.00
Fractional positions:
Ba 0.000 0.000 0.000
Sb 0.000 0.500 0.500
Sb 0.500 0.000 0.500
Sb 0.500 0.500 0.000
Au 0.500 0.500 0.500


Record 12
Below is crystalline Ba3Sb4Au4 at its relaxed geometry, with properties calculated at the PBE level.

Results
Space group: P-1 (2)
Crystal system: triclinic
Energy above the most stable polymorph in this dataset, eV per atom: 0.0000

Lattice parameters (Å, degrees): 4.834 4.923 14.392 99.45 99.61 90.02
Fractional positions:
Ba 0.000 0.000 0.000
Ba 0.348 0.862 0.695
Ba 0.652 0.138 0.305
Sb 0.197 0.647 0.395
Sb 0.447 0.456 0.894
Sb 0.553 0.544 0.106
Sb 0.803 0.353 0.605
Au 0.099 0.605 0.199
Au 0.253 0.200 0.504
Au 0.747 0.800 0.496
Au 0.901 0.395 0.801


Record 13
Below is crystalline BaSb4Au4 at its relaxed geometry, with properties calculated at the PBE level.

Results
Space group: P4_2/n (86)
Crystal system: tetragonal
E_tot, eV/cell: -68.38

Lattice parameters (Å, degrees): 9.220 9.220 5.881 90.00 90.00 90.00
Fractional positions:
Ba 0.250 0.250 0.250
Ba 0.750 0.750 0.750
Sb 0.098 0.884 0.639
Sb 0.116 0.598 0.139
Sb 0.384 0.902 0.139
Sb 0.402 0.616 0.639
Sb 0.598 0.384 0.361
Sb 0.616 0.098 0.861
Sb 0.884 0.402 0.861
Sb 0.902 0.116 0.361
Au 0.044 0.884 0.150
Au 0.116 0.544 0.650
Au 0.384 0.956 0.650
Au 0.456 0.616 0.150
Au 0.544 0.384 0.850
Au 0.616 0.044 0.350
Au 0.884 0.456 0.350
Au 0.956 0.116 0.850


Record 14
Below is crystalline BaSbAu3 at its relaxed geometry, with properties calculated at the PBE level.

Results
Space group: Imma (74)
Crystal system: orthorhombic
Energy above the most stable polymorph in this dataset, eV per atom: 0.1563

Lattice parameters (Å, degrees): 7.522 7.522 7.522 127.36 87.11 116.34
Fractional positions:
Ba 0.325 0.075 0.250
Ba 0.675 0.925 0.750
Sb 0.000 0.500 0.500
Sb 0.500 0.500 0.000
Au 0.150 0.000 0.650
Au 0.150 0.500 0.150
Au 0.239 0.489 0.750
Au 0.761 0.511 0.250
Au 0.850 0.000 0.350
Au 0.850 0.500 0.850


Record 15
Below is crystalline Ba2Sb3Au9 at its relaxed geometry, with properties calculated at the PBE level.

Results
Space group: C2/c (15)
Crystal system: monoclinic
E_tot, eV/cell: -101.33

Lattice parameters (Å, degrees): 8.607 8.607 11.589 112.65 112.65 59.60
Fractional positions:
Ba 0.089 0.255 0.246
Ba 0.255 0.089 0.746
Ba 0.745 0.911 0.254
Ba 0.911 0.745 0.754
Sb 0.000 0.500 0.000
Sb 0.108 0.711 0.509
Sb 0.289 0.892 0.991
Sb 0.500 0.000 0.500
Sb 0.711 0.108 0.009
Sb 0.892 0.289 0.491
Au 0.063 0.831 0.106
Au 0.169 0.937 0.394
Au 0.216 0.372 0.581
Au 0.252 0.557 0.277
Au 0.312 0.495 0.941
Au 0.364 0.636 0.750
Au 0.372 0.216 0.081
Au 0.443 0.748 0.223
Au 0.495 0.312 0.441
Au 0.505 0.688 0.559
Au 0.557 0.252 0.777
Au 0.628 0.784 0.919
Au 0.636 0.364 0.250
Au 0.688 0.505 0.059
Au 0.748 0.443 0.723
Au 0.784 0.628 0.419
Au 0.831 0.063 0.606
Au 0.937 0.169 0.894


Record 16
Below is crystalline Ba2SbAu2 at its relaxed geometry, with properties calculated at the PBE level.

Results
Space group: I4/mmm (139)
Crystal system: tetragonal
Energy above the most stable polymorph in this dataset, eV per atom: 0.1276

Lattice parameters (Å, degrees): 9.897 9.897 9.897 155.68 155.68 34.66
Fractional positions:
Ba 0.107 0.107 0.000
Ba 0.893 0.893 0.000
Sb 0.500 0.500 0.000
Au 0.250 0.750 0.500
Au 0.750 0.250 0.500


Record 17
Below is crystalline Ba2SbAu2 at its relaxed geometry, with properties calculated at the PBE level.

Results
Space group: I4/mmm (139)
Crystal system: tetragonal
Energy above the most stable polymorph in this dataset, eV per atom: 0.0930

Lattice parameters (Å, degrees): 6.241 6.241 6.241 118.93 118.93 91.86
Fractional positions:
Ba 0.250 0.750 0.500
Ba 0.750 0.250 0.500
Sb 0.000 0.000 0.000
Au 0.345 0.345 0.000
Au 0.655 0.655 0.000


Record 18
Below is crystalline BaSbAu3 at its relaxed geometry, with properties calculated at the PBE level.

Results
Space group: Cmcm (63)
Crystal system: orthorhombic
Energy above the most stable polymorph in this dataset, eV per atom: 0.0000

Lattice parameters (Å, degrees): 6.399 6.399 7.177 90.00 90.00 116.27
Fractional positions:
Ba 0.249 0.751 0.750
Ba 0.751 0.249 0.250
Sb 0.099 0.901 0.250
Sb 0.901 0.099 0.750
Au 0.288 0.288 0.000
Au 0.288 0.288 0.500
Au 0.344 0.656 0.250
Au 0.656 0.344 0.750
Au 0.712 0.712 0.000
Au 0.712 0.712 0.500


Record 19
Below is crystalline Ba2SbAu2 at its relaxed geometry, with properties calculated at the PBE level.

Results
Space group: P4/mbm (127)
Crystal system: tetragonal
Energy above the most stable polymorph in this dataset, eV per atom: 0.2358

Lattice parameters (Å, degrees): 9.366 9.366 4.022 90.00 90.00 90.00
Fractional positions:
Ba 0.176 0.324 0.000
Ba 0.324 0.824 0.000
Ba 0.676 0.176 0.000
Ba 0.824 0.676 0.000
Sb 0.000 0.000 0.000
Sb 0.500 0.500 0.000
Au 0.113 0.613 0.500
Au 0.387 0.113 0.500
Au 0.613 0.887 0.500
Au 0.887 0.387 0.500


Record 20
Below is crystalline Ba2SbAu2 at its relaxed geometry, with properties calculated at the PBE level.

Results
Space group: P4/mbm (127)
Crystal system: tetragonal
Energy above the most stable polymorph in this dataset, eV per atom: 0.0574

Lattice parameters (Å, degrees): 8.236 8.236 4.695 90.00 90.00 90.00
Fractional positions:
Ba 0.184 0.316 0.000
Ba 0.316 0.816 0.000
Ba 0.684 0.184 0.000
Ba 0.816 0.684 0.000
Sb 0.000 0.000 0.500
Sb 0.500 0.500 0.500
Au 0.120 0.620 0.500
Au 0.380 0.120 0.500
Au 0.620 0.880 0.500
Au 0.880 0.380 0.500